{
  "formula": "Cu4AgPd3",
  "functional": "PBE",
  "state": "relaxed",
  "delta_e_f_mev_per_atom": -88,
  "space_group": "I4/mmm, No. 139",
  "e_tot_ev_per_cell": -35.5,
  "cell": [[4.148, 0.000, -1.120], [-0.296, 4.144, -1.098], [-0.400, -0.465, 6.762]],
  "species": ["Cu", "Ag", "Cu", "Pd", "Cu", "Pd", "Cu", "Pd"],
  "frac_coords": [[0.628, 0.627, 0.255], [0.500, 0.000, 0.000], [0.128, 0.128, 0.255], [0.751, 0.251, 0.502], [0.872, 0.872, 0.745], [0.000, 0.500, 0.000], [0.372, 0.373, 0.745], [0.249, 0.749, 0.498]]
}



{
  "formula": "Te3Pt",
  "functional": "PBE",
  "state": "relaxed",
  "e_form_raw_ev_per_atom": 0.0068,
  "space_group": "Pnma, No. 62",
  "e_tot_ev_per_cell": -61.8,
  "cell": [[6.668, 0.000, 0.000], [0.000, 6.395, 0.000], [0.000, 0.000, 9.959]],
  "species": ["Te", "Te", "Te", "Te", "Te", "Pt", "Te", "Te", "Pt", "Te", "Te", "Te", "Te", "Pt", "Pt", "Te"],
  "frac_coords": [[0.340, 0.601, 0.750], [0.177, 0.200, 0.081], [0.823, 0.800, 0.581], [0.323, 0.700, 0.081], [0.660, 0.399, 0.250], [0.453, 0.024, 0.250], [0.160, 0.101, 0.750], [0.323, 0.700, 0.419], [0.047, 0.524, 0.250], [0.677, 0.300, 0.919], [0.840, 0.899, 0.250], [0.677, 0.300, 0.581], [0.177, 0.200, 0.419], [0.547, 0.976, 0.750], [0.953, 0.476, 0.750], [0.823, 0.800, 0.919]]
}



{
  "formula": "ScPaP2Ru5",
  "functional": "PBE",
  "state": "relaxed",
  "delta_e_f_mev_per_atom": -640,
  "space_group": "P4/mmm, No. 123",
  "e_tot_ev_per_cell": -78.8,
  "cell": [[4.112, 0.000, 0.000], [0.000, 4.112, 0.000], [0.000, 0.000, 8.323]],
  "species": ["Ru", "Ru", "Ru", "Pa", "P", "P", "Ru", "Ru", "Sc"],
  "frac_coords": [[0.000, 0.500, 0.270], [0.500, 0.000, 0.270], [0.500, 0.500, 0.500], [0.000, 0.000, 0.000], [0.500, 0.500, 0.141], [0.500, 0.500, 0.859], [0.500, 0.000, 0.730], [0.000, 0.500, 0.730], [0.000, 0.000, 0.500]]
}



{
  "formula": "MgNiAg2",
  "functional": "PBE",
  "state": "relaxed",
  "delta_e_f_mev_per_atom": -41,
  "space_group": "I-4m2, No. 119",
  "e_tot_ev_per_cell": -13.2,
  "cell": [[4.892, -0.027, -0.033], [1.635, 4.611, 0.033], [-3.243, -2.322, 2.834]],
  "species": ["Ag", "Ni", "Mg", "Ag"],
  "frac_coords": [[0.750, 0.250, 0.500], [0.250, 0.750, 0.500], [0.500, 0.500, 0.000], [0.000, 0.000, 0.000]]
}



{
  "formula": "PaSb2PdN",
  "functional": "PBE",
  "state": "relaxed",
  "e_form_raw_ev_per_atom": -0.8618,
  "space_group": "P4/nmm, No. 129",
  "e_tot_ev_per_cell": -71.1,
  "cell": [[-3.377, -1.897, -0.008], [1.160, -2.053, -3.072], [5.735, -10.246, 9.010]],
  "species": ["Sb", "N", "Pa", "Pa", "Sb", "Sb", "N", "Pd", "Sb", "Pd"],
  "frac_coords": [[0.000, 0.500, 0.075], [0.000, 0.000, 0.500], [0.500, 0.000, 0.581], [0.000, 0.500, 0.419], [0.500, 0.000, 0.925], [0.000, 0.500, 0.709], [0.500, 0.500, 0.500], [0.000, 0.500, 0.891], [0.500, 0.000, 0.291], [0.500, 0.000, 0.109]]
}



{
  "formula": "Hg4AsRu",
  "functional": "PBE",
  "state": "relaxed",
  "delta_e_f_mev_per_atom": 799,
  "space_group": "F-43m, No. 216",
  "e_tot_ev_per_cell": -10.3,
  "cell": [[-2.289, -5.174, -0.308], [-0.449, -3.182, 4.667], [-5.094, -0.985, 2.278]],
  "species": ["Hg", "Hg", "Hg", "Hg", "As", "Ru"],
  "frac_coords": [[0.375, 0.874, 0.375], [0.375, 0.375, 0.375], [0.375, 0.375, 0.874], [0.874, 0.375, 0.375], [0.000, 0.000, 0.000], [0.750, 0.750, 0.750]]
}



{
  "formula": "Ba2PmTlSe5",
  "functional": "PBE",
  "state": "relaxed",
  "e_form_raw_ev_per_atom": -1.5231,
  "space_group": "Cmc2_1, No. 36",
  "e_tot_ev_per_cell": -84.2,
  "cell": [[-3.663, 2.391, -0.117], [-0.559, -4.426, 8.841], [6.589, 10.369, 5.607]],
  "species": ["Ba", "Tl", "Se", "Tl", "Se", "Ba", "Se", "Ba", "Se", "Se", "Se", "Se", "Se", "Ba", "Se", "Pm", "Se", "Pm"],
  "frac_coords": [[0.881, 0.763, 0.185], [0.454, 0.908, 0.444], [0.494, 0.987, 0.765], [0.546, 0.092, 0.944], [0.506, 0.013, 0.265], [0.134, 0.268, 0.316], [0.643, 0.285, 0.503], [0.866, 0.732, 0.816], [0.709, 0.417, 0.162], [0.050, 0.100, 0.063], [0.686, 0.372, 0.867], [0.291, 0.583, 0.662], [0.357, 0.715, 0.003], [0.119, 0.237, 0.685], [0.950, 0.900, 0.563], [0.789, 0.579, 0.517], [0.314, 0.628, 0.367], [0.211, 0.421, 0.017]]
}



{
  "formula": "SrZrHg",
  "functional": "PBE",
  "state": "relaxed",
  "delta_e_f_mev_per_atom": -88,
  "space_group": "Cmcm, No. 63",
  "e_tot_ev_per_cell": -21.6,
  "cell": [[4.955, 0.000, 0.001], [-0.001, 5.732, 0.001], [2.475, -0.001, 6.327]],
  "species": ["Sr", "Hg", "Zr", "Hg", "Sr", "Zr"],
  "frac_coords": [[0.441, 0.573, 0.002], [0.309, 0.073, 0.265], [0.729, 0.823, 0.425], [0.149, 0.573, 0.585], [0.018, 0.073, 0.848], [0.729, 0.323, 0.425]]
}



Please write out number 2 again, unchanged.
{
  "formula": "Te3Pt",
  "functional": "PBE",
  "state": "relaxed",
  "e_form_raw_ev_per_atom": 0.0068,
  "space_group": "Pnma, No. 62",
  "e_tot_ev_per_cell": -61.8,
  "cell": [[6.668, 0.000, 0.000], [0.000, 6.395, 0.000], [0.000, 0.000, 9.959]],
  "species": ["Te", "Te", "Te", "Te", "Te", "Pt", "Te", "Te", "Pt", "Te", "Te", "Te", "Te", "Pt", "Pt", "Te"],
  "frac_coords": [[0.340, 0.601, 0.750], [0.177, 0.200, 0.081], [0.823, 0.800, 0.581], [0.323, 0.700, 0.081], [0.660, 0.399, 0.250], [0.453, 0.024, 0.250], [0.160, 0.101, 0.750], [0.323, 0.700, 0.419], [0.047, 0.524, 0.250], [0.677, 0.300, 0.919], [0.840, 0.899, 0.250], [0.677, 0.300, 0.581], [0.177, 0.200, 0.419], [0.547, 0.976, 0.750], [0.953, 0.476, 0.750], [0.823, 0.800, 0.919]]
}